Record 1
A geometry-optimized MgZrTc2 structure, computed with GGA-PBE.

Structure (POSCAR):
```
MgZrTc2
1.0
3.470 0.000 0.000
0.000 4.312 0.000
0.000 0.000 4.535
Mg Zr Tc
1 1 2
Direct
0.000 0.000 0.000
0.500 0.000 0.500
0.000 0.500 0.500
0.500 0.500 0.000
```

Summary:
The value obtained for the calculated formation energy is 0.1366 eV per atom. Its volume is 16.967 Å³/atom.

---

Record 2
A geometry-optimized Hf3GaPb structure, computed with GGA-PBE.

Structure (POSCAR):
```
Hf3GaPb
1.0
4.980 0.000 0.000
0.000 4.980 0.000
0.000 0.000 4.980
Hf Ga Pb
3 1 1
Direct
0.000 0.000 0.500
0.000 0.500 0.000
0.500 0.000 0.000
0.000 0.000 0.000
0.500 0.500 0.500
```

Summary:
The value obtained for the calculated formation energy is 0.3910 eV per atom. Its volume is 24.694 Å³/atom. As for the energy relative to the lowest polymorph listed for this composition: 124 kJ/mol of formula units.